[1]
First-principles (PBE) data for crystalline LaTbSiAu at its relaxed geometry, as listed in Alexandria.

Output
Uncorrected formation energy in meV/atom: -640
M_tot in Bohr magnetons per cell: 0.6
Raw total energy in eV/cell: -20.82

Geometry as POSCAR:
```
LaTbSiAu
1.0
0.000 3.676 3.676
3.676 0.000 3.676
3.676 3.676 0.000
La Tb Si Au
1 1 1 1
direct
0.000 0.000 0.000
0.500 0.500 0.500
0.750 0.750 0.750
0.250 0.250 0.250
```

[2]
First-principles (PBE) data for crystalline LaTl2Si2Au7 at its relaxed geometry, as listed in Alexandria.

Output
Uncorrected formation energy in meV/atom: -258
M_tot in Bohr magnetons per cell: 0.0
Raw total energy in eV/cell: -46.55

Geometry as POSCAR:
```
LaTl2Si2Au7
1.0
3.526 -3.435 0.000
3.526 3.435 0.000
-1.836 0.000 11.556
La Tl Si Au
1 2 2 7
direct
0.000 0.000 0.000
0.124 0.124 0.389
0.876 0.876 0.611
0.321 0.321 0.790
0.679 0.679 0.210
0.145 0.565 0.182
0.435 0.435 0.603
0.435 0.855 0.818
0.500 0.500 0.000
0.565 0.145 0.182
0.565 0.565 0.397
0.855 0.435 0.818
```

[3]
First-principles (PBE) data for crystalline LaZnSi2Au6 at its relaxed geometry, as listed in Alexandria.

Output
Uncorrected formation energy in meV/atom: -83
M_tot in Bohr magnetons per cell: 0.0
Raw total energy in eV/cell: -37.54

Geometry as POSCAR:
```
LaZnSi2Au6
1.0
3.309 1.910 7.045
-3.309 1.910 7.045
0.000 -3.821 7.045
La Zn Si Au
1 1 2 6
direct
0.000 0.000 0.000
0.500 0.500 0.500
0.293 0.293 0.293
0.707 0.707 0.707
0.126 0.607 0.471
0.393 0.529 0.874
0.471 0.126 0.607
0.529 0.874 0.393
0.607 0.471 0.126
0.874 0.393 0.529
```

Number 1: D(E_F) 4.0 states/eV per cell. Number 2: D(E_F) 4.6 states/eV per cell. Number 3: D(E_F) 4.5 states/eV per cell.